# Li2CrO4 (PBE with a Hubbard U, optimized geometry)
# excess energy over the best structure of this formula in the dataset = 17.4 meV/atom
# M_tot = 0.011 μB per atom
data_Li2CrO4
_cell_length_a 5.338
_cell_length_b 5.744
_cell_length_c 8.116
_cell_angle_alpha 94.49
_cell_angle_beta 100.27
_cell_angle_gamma 124.67
_symmetry_space_group_name_H-M 'P 1'
_symmetry_Int_Tables_number 1
loop_
_symmetry_equiv_pos_as_xyz
'x,y,z'
loop_
_atom_site_label
_atom_site_type_symbol
_atom_site_fract_x
_atom_site_fract_y
_atom_site_fract_z
Li1 Li 0.619 0.235 0.133
Li2 Li 0.001 0.749 0.492
Li3 Li 0.999 0.251 0.508
Li4 Li 0.381 0.765 0.867
Cr1 Cr 0.358 0.616 0.257
Cr2 Cr 0.642 0.384 0.743
O1 O 0.373 0.808 0.112
O2 O 0.349 0.344 0.172
O3 O 0.675 0.825 0.425
O4 O 0.024 0.485 0.325
O5 O 0.976 0.515 0.675
O6 O 0.325 0.175 0.575
O7 O 0.651 0.656 0.828
O8 O 0.627 0.192 0.888